Density functional theory data (PBE) for a relaxed structure of NaLiTa2Nb.

a = 4.8760 Å, b = 4.8760 Å, c = 5.8062 Å
α = 90.00°, β = 90.00°, γ = 90.00°
Closest atoms and distances in Å follow each position.
Fractional coordinates of all 5 atoms:
Na1 0.0000 0.0000 0.0000  2 Nb 2.90
Li1 0.5000 0.5000 0.0000  4 Na 3.45, 8 Ta 3.79
Ta1 0.0000 0.5000 0.5000  2 Nb 2.44
Ta2 0.5000 0.0000 0.5000  2 Nb 2.44
Nb1 0.0000 0.0000 0.5000  4 Ta 2.44

Properties
Raw total energy = -5.952 eV/atom
D(E_F) = 4.3 states/eV per cell
E_form = 7.246 eV/f.u.
Mass density = 5.83 g cm⁻³

=====

Density functional theory data (PBE) for a relaxed structure of NaLiNb2Tc.

a = 4.7199 Å, b = 4.7199 Å, c = 4.5653 Å
α = 90.00°, β = 90.00°, γ = 90.00°
Closest atoms and distances in Å follow each position.
Fractional coordinates of all 5 atoms:
Na1 0.0000 0.0000 0.0000  2 Tc 2.28, 4 Nb 2.36
Li1 0.5000 0.5000 0.5000  8 Nb 3.28, 4 Tc 3.34
Nb1 0.0000 0.5000 0.0000  2 Na 2.36
Nb2 0.5000 0.0000 0.0000  2 Na 2.36
Tc1 0.0000 0.0000 0.5000  2 Na 2.28

Properties
Raw total energy = -4.498 eV/atom
D(E_F) = 5.6 states/eV per cell
E_form = 11.249 eV/f.u.
Mass density = 5.12 g cm⁻³

=====

Density functional theory data (PBE) for a relaxed structure of NaLi2Nd.

a = 3.4505 Å, b = 3.4505 Å, c = 33.8963 Å
α = 90.00°, β = 90.00°, γ = 120.00°
Closest atoms and distances in Å follow each position.
Fractional coordinates of all 12 atoms:
Na1 0.0000 0.0000 0.0000  6 Na 3.45, 6 Li 3.46-3.47
Na2 0.3333 0.6667 0.6667  6 Na 3.45, 6 Li 3.46-3.47
Na3 0.6667 0.3333 0.3333  6 Na 3.45, 6 Li 3.46-3.47
Li1 0.0000 0.0000 0.4167  3 Nd 3.45, 6 Li 3.45, 3 Na 3.46
Li2 0.0000 0.0000 0.5830  6 Li 3.45, 3 Nd 3.45, 3 Na 3.47
Li3 0.3333 0.6667 0.0834  3 Nd 3.45, 6 Li 3.45, 3 Na 3.46
Li4 0.3333 0.6667 0.2497  6 Li 3.45, 3 Nd 3.45, 3 Na 3.47
Li5 0.6667 0.3333 0.7501  3 Nd 3.45, 6 Li 3.45, 3 Na 3.46
Li6 0.6667 0.3333 0.9163  6 Li 3.45, 3 Nd 3.45, 3 Na 3.47
Nd1 0.0000 0.0000 0.8331  6 Li 3.45, 6 Nd 3.45
Nd2 0.3333 0.6667 0.4998  6 Li 3.45, 6 Nd 3.45
Nd3 0.6667 0.3333 0.1664  6 Li 3.45, 6 Nd 3.45

Properties
Raw total energy = -2.375 eV/atom
D(E_F) = 8.4 states/eV per cell
E_form = 0.414 eV/f.u.
Mass density = 2.58 g cm⁻³

=====

Density functional theory data (PBE) for a relaxed structure of NaLi2Nd.

a = 3.4896 Å, b = 3.4896 Å, c = 9.0869 Å
α = 90.00°, β = 90.00°, γ = 90.00°
Closest atoms and distances in Å follow each position.
Fractional coordinates of all 4 atoms:
Na1 0.0000 0.0000 0.0000  8 Li 3.30, 4 Na 3.49
Li1 0.5000 0.5000 0.2417  4 Na 3.30, 4 Nd 3.41, 4 Li 3.49
Li2 0.5000 0.5000 0.7583  4 Na 3.30, 4 Nd 3.41, 4 Li 3.49
Nd1 0.0000 0.0000 0.5000  8 Li 3.41, 4 Nd 3.49

Properties
Raw total energy = -2.360 eV/atom
D(E_F) = 3.2 states/eV per cell
E_form = 0.474 eV/f.u.
Mass density = 2.72 g cm⁻³

=====

Density functional theory data (PBE) for a relaxed structure of NaLiNd.

a = 3.6299 Å, b = 3.6299 Å, c = 14.0176 Å
α = 90.00°, β = 90.00°, γ = 90.00°
Closest atoms and distances in Å follow each position.
Fractional coordinates of all 6 atoms:
Na1 0.2500 0.2500 0.0972  4 Li 3.33, 4 Na 3.63
Na2 0.7500 0.7500 0.9028  4 Li 3.33, 4 Na 3.63
Li1 0.2500 0.2500 0.7517  4 Na 3.33, 4 Nd 3.43, 4 Li 3.63
Li2 0.7500 0.7500 0.2483  4 Na 3.33, 4 Nd 3.43, 4 Li 3.63
Nd1 0.2500 0.2500 0.4104  4 Li 3.43, 8 Nd 3.59-3.63
Nd2 0.7500 0.7500 0.5896  4 Li 3.43, 8 Nd 3.59-3.63

Properties
Raw total energy = -2.600 eV/atom
D(E_F) = 6.2 states/eV per cell
E_form = 0.200 eV/f.u.
Mass density = 3.13 g cm⁻³

=====

Density functional theory data (PBE) for a relaxed structure of NaLiNd.

a = 3.4924 Å, b = 3.4924 Å, c = 8.7958 Å
α = 90.00°, β = 90.00°, γ = 120.00°
Closest atoms and distances in Å follow each position.
Fractional coordinates of all 3 atoms:
Na1 0.0000 0.0000 0.0000  6 Na 3.49, 3 Li 3.51, 3 Nd 3.76
Li1 0.3333 0.6667 0.6733  3 Nd 3.41, 6 Li 3.49, 3 Na 3.51
Nd1 0.6667 0.3333 0.3610  3 Li 3.41, 6 Nd 3.49, 3 Na 3.76

Properties
Raw total energy = -2.544 eV/atom
D(E_F) = 1.8 states/eV per cell
E_form = 0.370 eV/f.u.
Mass density = 3.11 g cm⁻³

=====

Density functional theory data (PBE) for a relaxed structure of NaLi4Nd.

a = 5.9598 Å, b = 5.9598 Å, c = 5.9598 Å
α = 60.00°, β = 60.00°, γ = 60.00°
Closest atoms and distances in Å follow each position.
Fractional coordinates of all 6 atoms:
Na1 0.0000 0.0000 0.0000  12 Li 3.49, 4 Nd 3.65
Li1 0.3745 0.3745 0.3745  6 Li 2.97-2.99
Li2 0.3745 0.3745 0.8766  6 Li 2.97-2.99
Li3 0.3745 0.8766 0.3745  6 Li 2.97-2.99
Li4 0.8766 0.3745 0.3745  6 Li 2.97-2.99
Nd1 0.7500 0.7500 0.7500  12 Li 3.50, 4 Na 3.65

Properties
Raw total energy = -2.147 eV/atom
D(E_F) = 6.0 states/eV per cell
E_form = 0.858 eV/f.u.
Mass density = 2.16 g cm⁻³

=====

Density functional theory data (PBE) for a relaxed structure of NaLiNd.

a = 3.3704 Å, b = 3.3704 Å, c = 16.3045 Å
α = 90.00°, β = 90.00°, γ = 90.00°
Closest atoms and distances in Å follow each position.
Fractional coordinates of all 6 atoms:
Na1 0.0000 0.0000 0.0000  4 Na 3.37, 4 Li 3.51
Na2 0.5000 0.5000 0.5000  4 Na 3.37, 4 Li 3.51
Li1 0.0000 0.0000 0.3417  4 Li 3.37, 4 Nd 3.48, 4 Na 3.51
Li2 0.5000 0.5000 0.8417  4 Li 3.37, 4 Nd 3.48, 4 Na 3.51
Nd1 0.0000 0.0000 0.6863  4 Nd 3.37, 4 Li 3.48
Nd2 0.5000 0.5000 0.1863  4 Nd 3.37, 4 Li 3.48

Properties
Raw total energy = -2.497 eV/atom
D(E_F) = 5.8 states/eV per cell
E_form = 0.509 eV/f.u.
Mass density = 3.12 g cm⁻³

=====

Q: The lowest E_form belongs to which entry?
A: number 5

=====

Q: What is the E_form in the sixth record?
A: 0.370 eV/f.u.

=====

Q: Which of these has the highest E_form?
A: NaLiNb2Tc